# ScBiPbS2

Crystalline ScBiPbS2 at its relaxed geometry (PBE-GGA, Alexandria via LeMat-Bulk).

Summary:
* calculated density: 5.78 g/cm³
* electronic total energy: -19.62 eV/cell
* energy relative to the elements, uncorrected: 0.510 eV per atom
* crystal system: tetragonal

a b c (Å): 5.120 5.120 5.756
angles (deg): 90.00 90.00 90.00
Space group P4/mmm (No. 123)
Unique sites:
Sc 0.000 0.000 0.000 [1 per cell]
Bi 0.500 0.500 0.000 [1 per cell]
Pb 0.000 0.000 0.500 [1 per cell]
S 0.000 0.500 0.500 [2 per cell]